Computed, not measured: a relaxed Pa4AsH3Rh12 crystal at the PBE-GGA level of DFT.

```
Pa4AsH3Rh12
1.0
-4.9238 -1.3977 5.1693
6.5898 -2.0335 2.3146
0.0333 7.1278 -1.4534
Pa H Rh As
4 3 12 1
Direct
0.0000 0.0000 0.5000
0.5000 0.5000 0.5000
0.5000 0.0000 0.0000
0.0000 0.5000 0.0000
0.5000 0.5000 0.0000
0.5000 0.0000 0.5000
0.0000 0.5000 0.5000
0.0000 0.2784 0.2784
0.7500 0.2500 0.5000
0.0000 0.7216 0.7216
0.2784 0.0000 0.2784
0.2500 0.5000 0.7500
0.2500 0.7500 0.5000
0.7500 0.5000 0.2500
0.7216 0.7216 0.0000
0.7216 0.0000 0.7216
0.2784 0.2784 0.0000
0.5000 0.7500 0.2500
0.5000 0.2500 0.7500
0.0000 0.0000 0.0000
```

Computed properties:
Raw total energy = -7.73 eV/atom
Crystal system = cubic

***

Computed, not measured: a relaxed CrCo4W crystal at the PBE-GGA level of DFT.

```
CrCo4W
1.0
3.7747 -1.8962 -1.9057
0.9981 -4.4580 0.7781
-0.4377 -3.1026 -3.4144
W Co Cr
1 4 1
Direct
0.0000 0.0000 0.0000
0.6242 0.6242 0.6242
0.1275 0.6242 0.6242
0.6242 0.1275 0.6242
0.6242 0.6242 0.1275
0.2500 0.2500 0.2500
```

Computed properties:
Calculated formation energy = 0.100 eV/atom
Raw total energy = -8.40 eV/atom
Offset from the most stable computed form = 0.00 eV/f.u.
Crystal system = cubic

***

Computed, not measured: a relaxed Zn2Sn2Pt crystal at the PBE-GGA level of DFT.

```
Zn2Sn2Pt
1.0
-6.6045 -0.5797 1.4473
1.5556 -2.0262 6.2869
-0.0666 4.0987 1.3375
Zn Pt Sn
4 2 4
Direct
0.1361 0.3639 0.0000
0.8639 0.6361 0.0000
0.3639 0.8639 0.0000
0.6361 0.1361 0.0000
0.5000 0.5000 0.0000
0.0000 0.0000 0.0000
0.6759 0.8241 0.5000
0.8241 0.3241 0.5000
0.3241 0.1759 0.5000
0.1759 0.6759 0.5000
```

Computed properties:
Calculated formation energy = -0.045 eV/atom
Raw total energy = -3.36 eV/atom
Offset from the most stable computed form = 0.00 eV/f.u.
Crystal system = tetragonal

***

Computed, not measured: a relaxed Na5RhCl8 crystal at the PBE-GGA level of DFT.

```
Na5RhCl8
1.0
8.2272 0.0000 0.0000
4.1136 7.1249 0.0000
4.1136 2.3750 6.7174
Cl Na Rh
8 5 1
Direct
0.8689 0.8689 0.8689
0.3667 0.9000 0.3667
0.9000 0.3667 0.3667
0.3667 0.3667 0.9000
0.3667 0.3667 0.3667
0.8689 0.3932 0.8689
0.3932 0.8689 0.8689
0.8689 0.8689 0.3932
0.0844 0.6385 0.6385
0.6385 0.6385 0.0845
0.6385 0.0845 0.6385
0.6385 0.6385 0.6385
0.0000 0.0000 0.0000
0.2500 0.2500 0.2500
```

Computed properties:
Raw total energy = -3.29 eV/atom
Crystal system = cubic
Formation energy (no corrections) = -1.242 eV/atom

***

Computed, not measured: a relaxed PmUOs2 crystal at the PBE-GGA level of DFT.

```
PmUOs2
1.0
6.5576 0.0000 0.0000
0.0000 7.2653 0.0000
0.0000 0.0000 8.4879
U Pm Os
4 4 8
Direct
0.0000 0.2500 0.2694
0.5000 0.7500 0.7045
0.5000 0.2500 0.2955
0.0000 0.7500 0.7306
0.0000 0.2500 0.7278
0.0000 0.7500 0.2722
0.5000 0.2500 0.7511
0.5000 0.7500 0.2489
0.0000 0.5000 0.0000
0.7172 0.2500 0.0463
0.5000 0.5000 0.5000
0.5000 0.0000 0.5000
0.7172 0.7500 0.9537
0.2828 0.7500 0.9537
0.2828 0.2500 0.0463
0.0000 0.0000 0.0000
```

Computed properties:
Calculated formation energy = 0.641 eV/atom
Raw total energy = -8.98 eV/atom
Offset from the most stable computed form = 2.81 eV/f.u.
Crystal system = orthorhombic

***

Computed, not measured: a relaxed Li6CdPd5 crystal at the PBE-GGA level of DFT.

```
Li6CdPd5
1.0
-0.3911 -3.0331 -6.7822
3.0985 0.1080 -2.9562
3.9570 -5.4501 0.8446
Li Pd Cd
6 5 1
Direct
0.2586 0.9162 0.6516
0.7414 0.4321 0.6516
0.7414 0.0838 0.3484
0.2586 0.5679 0.3484
0.2686 0.2311 0.0000
0.7314 0.7689 0.0000
0.5000 0.5000 0.0000
0.0000 0.3377 0.3245
0.5000 0.1642 0.6717
0.0000 0.6623 0.6755
0.5000 0.8358 0.3283
0.0000 0.0000 0.0000
```

Computed properties:
Calculated formation energy = -0.419 eV/atom
Raw total energy = -3.62 eV/atom
Crystal system = monoclinic